Record 1
## ReTc3B (PBE)

Data for a relaxed ReTc3B crystal.

Geometry as CIF:
```
data_ReTc3B
_cell_length_a 4.688
_cell_length_b 4.688
_cell_length_c 4.688
_cell_angle_alpha 90.00
_cell_angle_beta 90.00
_cell_angle_gamma 90.00
_space_group_name_H-M_alt 'P 1'
_space_group_IT_number 1
_space_group_name_Hall 'P 1'
loop_
_atom_site_label
_atom_site_type_symbol
_atom_site_fract_x
_atom_site_fract_y
_atom_site_fract_z
_atom_site_occupancy
Re1 Re 0.000 0.000 0.000 1
Tc1 Tc 0.000 0.000 0.500 1
Tc2 Tc 0.000 0.500 0.000 1
Tc3 Tc 0.500 0.000 0.000 1
B1 B 0.500 0.500 0.500 1
```

Calculated values
Formation energy in eV/atom: 2.5567
Symmetry: Pm-3m, No. 221



Record 2
## NaPr2Ir (PBE)

Data for a relaxed NaPr2Ir crystal.

Geometry as CIF:
```
data_NaPr2Ir
_cell_length_a 3.614
_cell_length_b 3.614
_cell_length_c 9.551
_cell_angle_alpha 90.00
_cell_angle_beta 90.00
_cell_angle_gamma 90.00
_space_group_name_H-M_alt 'P 1'
_space_group_IT_number 1
_space_group_name_Hall 'P 1'
loop_
_atom_site_label
_atom_site_type_symbol
_atom_site_fract_x
_atom_site_fract_y
_atom_site_fract_z
_atom_site_occupancy
Na1 Na 0.000 0.000 0.000 1
Pr1 Pr 0.500 0.500 0.325 1
Pr2 Pr 0.500 0.500 0.675 1
Ir1 Ir 0.000 0.000 0.500 1
```

Calculated values
Formation energy in eV/atom: -0.2497
Symmetry: P4/mmm, No. 123



Record 3
## YZr4P (PBE)

Data for a relaxed YZr4P crystal.

Geometry as CIF:
```
data_YZr4P
_cell_length_a 5.871
_cell_length_b 5.871
_cell_length_c 5.871
_cell_angle_alpha 60.00
_cell_angle_beta 60.00
_cell_angle_gamma 60.00
_space_group_name_H-M_alt 'P 1'
_space_group_IT_number 1
_space_group_name_Hall 'P 1'
loop_
_atom_site_label
_atom_site_type_symbol
_atom_site_fract_x
_atom_site_fract_y
_atom_site_fract_z
_atom_site_occupancy
Y1 Y 0.000 0.000 0.000 1
Zr1 Zr 0.116 0.628 0.628 1
Zr2 Zr 0.628 0.116 0.628 1
Zr3 Zr 0.628 0.628 0.116 1
Zr4 Zr 0.628 0.628 0.628 1
P1 P 0.250 0.250 0.250 1
```

Calculated values
Formation energy in eV/atom: 0.3693
Symmetry: F-43m, No. 216



Record 4
## Rb3BiH (PBE)

Data for a relaxed Rb3BiH crystal.

Geometry as CIF:
```
data_Rb3BiH
_cell_length_a 8.330
_cell_length_b 8.330
_cell_length_c 8.330
_cell_angle_alpha 57.98
_cell_angle_beta 57.98
_cell_angle_gamma 57.98
_space_group_name_H-M_alt 'P 1'
_space_group_IT_number 1
_space_group_name_Hall 'P 1'
loop_
_atom_site_label
_atom_site_type_symbol
_atom_site_fract_x
_atom_site_fract_y
_atom_site_fract_z
_atom_site_occupancy
Rb1 Rb 0.093 0.093 0.569 1
Rb2 Rb 0.093 0.569 0.093 1
Rb3 Rb 0.431 0.907 0.907 1
Rb4 Rb 0.569 0.093 0.093 1
Rb5 Rb 0.907 0.431 0.907 1
Rb6 Rb 0.907 0.907 0.431 1
Bi1 Bi 0.423 0.423 0.423 1
Bi2 Bi 0.577 0.577 0.577 1
H1 H 0.162 0.162 0.162 1
H2 H 0.838 0.838 0.838 1
```

Calculated values
VASP energy in eV/atom: -2.191
Symmetry: R-3m, No. 166



Record 5
## LiThCu2 (PBE)

Data for a relaxed LiThCu2 crystal.

Geometry as CIF:
```
data_LiThCu2
_cell_length_a 4.324
_cell_length_b 4.324
_cell_length_c 13.886
_cell_angle_alpha 90.00
_cell_angle_beta 90.00
_cell_angle_gamma 120.00
_space_group_name_H-M_alt 'P 1'
_space_group_IT_number 1
_space_group_name_Hall 'P 1'
loop_
_atom_site_label
_atom_site_type_symbol
_atom_site_fract_x
_atom_site_fract_y
_atom_site_fract_z
_atom_site_occupancy
Li1 Li 0.000 0.000 0.000 1
Li2 Li 0.333 0.667 0.667 1
Li3 Li 0.667 0.333 0.333 1
Th1 Th 0.000 0.000 0.500 1
Th2 Th 0.333 0.667 0.167 1
Th3 Th 0.667 0.333 0.833 1
Cu1 Cu 0.000 0.000 0.292 1
Cu2 Cu 0.000 0.000 0.708 1
Cu3 Cu 0.333 0.667 0.374 1
Cu4 Cu 0.333 0.667 0.959 1
Cu5 Cu 0.667 0.333 0.041 1
Cu6 Cu 0.667 0.333 0.626 1
```

Calculated values
Formation energy in eV/atom: -0.0731
Symmetry: R-3m, No. 166



Record 6
## CoAu2Se (PBE)

Data for a relaxed CoAu2Se crystal.

Geometry as CIF:
```
data_CoAu2Se
_cell_length_a 5.382
_cell_length_b 9.958
_cell_length_c 3.790
_cell_angle_alpha 90.00
_cell_angle_beta 134.29
_cell_angle_gamma 90.00
_space_group_name_H-M_alt 'P 1'
_space_group_IT_number 1
_space_group_name_Hall 'P 1'
loop_
_atom_site_label
_atom_site_type_symbol
_atom_site_fract_x
_atom_site_fract_y
_atom_site_fract_z
_atom_site_occupancy
Co1 Co 0.000 0.000 0.000 1
Co2 Co 0.500 0.500 0.000 1
Au1 Au 0.250 0.250 0.500 1
Au2 Au 0.250 0.750 0.500 1
Au3 Au 0.750 0.250 0.500 1
Au4 Au 0.750 0.750 0.500 1
Se1 Se 0.000 0.500 0.000 1
Se2 Se 0.500 0.000 0.000 1
```

Calculated values
Energy relative to the elements, uncorrected in eV per atom: 0.3582
Symmetry: C2/m, No. 12



Record 7
## YMnSe (PBE)

Data for a relaxed YMnSe crystal.

Geometry as CIF:
```
data_YMnSe
_cell_length_a 4.192
_cell_length_b 4.192
_cell_length_c 3.841
_cell_angle_alpha 90.00
_cell_angle_beta 90.00
_cell_angle_gamma 120.00
_space_group_name_H-M_alt 'P 1'
_space_group_IT_number 1
_space_group_name_Hall 'P 1'
loop_
_atom_site_label
_atom_site_type_symbol
_atom_site_fract_x
_atom_site_fract_y
_atom_site_fract_z
_atom_site_occupancy
Y1 Y 0.000 0.000 0.000 1
Mn1 Mn 0.667 0.333 0.500 1
Se1 Se 0.333 0.667 0.500 1
```

Calculated values
Energy relative to the elements, uncorrected in eV per atom: -0.6125
Symmetry: P-6m2, No. 187



Record 8
## Nb3Cu2S6 (PBE)

Data for a relaxed Nb3Cu2S6 crystal.

Geometry as CIF:
```
data_Nb3Cu2S6
_cell_length_a 3.384
_cell_length_b 3.384
_cell_length_c 40.678
_cell_angle_alpha 90.00
_cell_angle_beta 90.00
_cell_angle_gamma 60.00
_space_group_name_H-M_alt 'P 1'
_space_group_IT_number 1
_space_group_name_Hall 'P 1'
loop_
_atom_site_label
_atom_site_type_symbol
_atom_site_fract_x
_atom_site_fract_y
_atom_site_fract_z
_atom_site_occupancy
Nb1 Nb 0.000 0.000 0.000 1
Nb2 Nb 0.000 0.000 0.328 1
Nb3 Nb 0.666 0.666 0.487 1
Nb4 Nb 0.667 0.667 0.164 1
Nb5 Nb 0.667 0.667 0.836 1
Nb6 Nb 0.999 0.999 0.675 1
Cu1 Cu 0.666 0.666 0.560 1
Cu2 Cu 0.667 0.667 0.235 1
Cu3 Cu 0.667 0.667 0.907 1
Cu4 Cu 0.999 0.999 0.602 1
S1 S 0.000 0.000 0.127 1
S2 S 0.000 0.000 0.204 1
S3 S 0.000 0.000 0.798 1
S4 S 0.000 0.000 0.876 1
S5 S 0.666 0.666 0.636 1
S6 S 0.666 0.666 0.713 1
S7 S 0.667 0.667 0.037 1
S8 S 0.667 0.667 0.290 1
S9 S 0.667 0.667 0.366 1
S10 S 0.667 0.667 0.961 1
S11 S 0.999 0.999 0.449 1
S12 S 0.999 0.999 0.526 1
```

Calculated values
Energy relative to the elements, uncorrected in eV per atom: -0.8382
Symmetry: Cm, No. 8